Entry 1:
Computed, not measured: crystalline Ta2FeSe at its relaxed geometry at the GGA-PBE level of DFT.

Cell: 3.614 3.254 5.606 Å, 73.11 90.00 90.00°
Fractional positions:
Fe 0.000 0.696 0.485
Ta 0.000 0.952 0.970
Ta 0.500 0.296 0.283
Se 0.500 0.557 0.761

Results
Formation energy (no corrections) ... -0.067 eV per atom
Symmetry ... Amm2, No. 38

---

Entry 2:
Computed, not measured: crystalline MnAgPdPt2 at its relaxed geometry at the GGA-PBE level of DFT.

Cell: 4.475 4.810 4.475 Å, 90.00 90.00 90.00°
Fractional positions:
Pt 0.500 0.000 0.000
Pt 0.000 0.000 0.500
Ag 0.000 0.500 0.000
Mn 0.000 0.000 0.000
Pd 0.500 0.500 0.500

Results
Formation energy ... 5.14 eV/f.u.
Symmetry ... P4/mmm, No. 123

---

Entry 3:
Computed, not measured: crystalline Ni2AgOs at its relaxed geometry at the GGA-PBE level of DFT.

Cell: 6.706 6.706 5.446 Å, 51.99 51.99 90.00°
Fractional positions:
Os 0.750 0.250 0.500
Os 0.000 0.000 0.000
Ni 0.875 0.900 0.750
Ni 0.650 0.125 0.250
Ni 0.375 0.350 0.750
Ni 0.100 0.625 0.250
Ag 0.500 0.500 0.000
Ag 0.250 0.750 0.500

Results
Formation energy ... 3.57 eV/f.u.
Excess energy over the best structure of this formula in the dataset ... 2.804 eV per formula unit
Symmetry ... I-42d, No. 122

---

Entry 4:
Computed, not measured: crystalline SmInBr2 at its relaxed geometry at the GGA-PBE level of DFT.

Cell: 4.016 4.016 10.564 Å, 79.04 79.04 60.00°
Fractional positions:
Br 0.909 0.909 0.272
Br 0.091 0.091 0.728
Sm 0.000 0.000 0.000
In 0.500 0.500 0.500

Results
Formation energy (no corrections) ... -0.714 eV per atom
Symmetry ... R-3m, No. 166

---

Entry 5:
Computed, not measured: crystalline Tb2NdTh3As6 at its relaxed geometry at the GGA-PBE level of DFT.

Cell: 7.323 7.323 7.279 Å, 99.67 99.67 119.92°
Fractional positions:
Th 0.834 0.166 0.500
Th 0.500 0.500 0.500
Th 0.166 0.834 0.500
As 0.580 0.918 0.753
As 0.744 0.744 0.246
As 0.082 0.420 0.247
As 0.918 0.580 0.753
As 0.256 0.256 0.754
As 0.420 0.082 0.247
Tb 0.333 0.667 0.000
Tb 0.667 0.333 0.000
Nd 0.000 0.000 0.000

Results
Formation energy ... -17.67 eV/f.u.
Symmetry ... C2/m, No. 12

---

Entry 6:
Computed, not measured: crystalline Pm3In3Hg2Rh at its relaxed geometry at the GGA-PBE level of DFT.

Cell: 4.272 7.797 7.797 Å, 120.00 90.00 90.00°
Fractional positions:
In 0.500 0.240 0.240
In 0.500 0.000 0.760
In 0.500 0.760 0.000
Rh 0.000 0.000 0.000
Pm 0.000 0.393 0.000
Pm 0.000 0.607 0.607
Pm 0.000 0.000 0.393
Hg 0.500 0.667 0.333
Hg 0.500 0.333 0.667

Results
Formation energy ... -5.13 eV/f.u.
Symmetry ... P-62m, No. 189